Below is CaHo2Ag after structural relaxation, with properties calculated at the PBE level.

Cell: 3.5412 3.5412 34.0066 Å, 90.00 90.00 120.00°
Space group R-3m (No. 166, hexagonal axes)
Inequivalent atoms, fractional coordinates:
Ca (0.0000, 0.0000, 0.0000) (multiplicity 3)
Ho (0.0000, 0.0000, 0.0994) (multiplicity 6)
Ag (0.0000, 0.0000, 0.5000) (multiplicity 3)

Values from the calculation:
Final energy, eV per atom: -3.317
Magnetization, μB per formula unit: 0.001
Relative energy among the computed polymorphs, eV/f.u.: 0.99
Energy of formation, eV per atom: 0.19

---

Below is Ca2HoAg3 after structural relaxation, with properties calculated at the PBE level.

Cell: 5.1801 5.1801 6.3793 Å, 90.00 90.00 120.00°
Space group P-3m1 (No. 164)
Inequivalent atoms, fractional coordinates:
Ca (0.3333, 0.6667, 0.1621) (multiplicity 2)
Ho (0.0000, 0.0000, 0.5000) (multiplicity 1)
Ag (0.0000, 0.0000, 0.0000) (multiplicity 1)
Ag (0.3333, 0.6667, 0.6418) (multiplicity 2)

Values from the calculation:
Final energy, eV per atom: -3.163
Magnetization, μB per formula unit: 0.000
Relative energy among the computed polymorphs, eV/f.u.: 0.06
Energy of formation, eV per atom: -0.31